1.
Entry from the Alexandria database: an optimized crystal structure of SrZnMo (PBE).

POSCAR file:
```
SrZnMo
1.0
5.123 0.000 0.000
2.561 4.436 0.000
2.561 1.479 4.183
Mo Sr Zn
1 1 1
Direct
0.500 0.500 0.500 Mo
0.750 0.750 0.750 Sr
0.000 0.000 0.000 Zn
```

Computed properties:
* N(E_F): 2.86 states/eV/cell
* energy of formation from the pure elements: 1.557 eV/atom
* symmetry: F-43m, No. 216
* E above lowest polymorph: 961 meV/atom
* total magnetic moment: 4.1 μB per cell


2.
Entry from the Alexandria database: an optimized crystal structure of SrZn4Mo (PBE).

POSCAR file:
```
SrZn4Mo
1.0
3.613 -3.662 1.517
1.149 -0.640 5.199
-1.589 -4.430 2.572
Sr Zn Mo
1 4 1
Direct
0.000 0.000 0.000 Sr
0.868 0.377 0.377 Zn
0.377 0.377 0.868 Zn
0.377 0.868 0.377 Zn
0.377 0.377 0.377 Zn
0.750 0.750 0.750 Mo
```

Computed properties:
* N(E_F): 3.94 states/eV/cell
* energy of formation from the pure elements: 0.194 eV/atom
* symmetry: F-43m, No. 216
* total magnetic moment: 2.8 μB per cell


3.
Entry from the Alexandria database: an optimized crystal structure of SrZn3Mo (PBE).

POSCAR file:
```
SrZn3Mo
1.0
5.730 0.000 0.000
0.000 5.730 0.000
0.000 0.000 5.730
Sr Mo Zn
1 1 3
Direct
0.000 0.000 0.000 Sr
0.500 0.500 0.500 Mo
0.000 0.500 0.000 Zn
0.000 0.000 0.500 Zn
0.500 0.000 0.000 Zn
```

Computed properties:
* N(E_F): 3.05 states/eV/cell
* energy of formation from the pure elements: 1.645 eV/atom
* symmetry: Pm-3m, No. 221
* E above lowest polymorph: 1322 meV/atom
* total magnetic moment: 4.6 μB per cell


4.
Entry from the Alexandria database: an optimized crystal structure of SrZr4Mo (PBE).

POSCAR file:
```
SrZr4Mo
1.0
0.000 4.194 4.194
4.194 0.000 4.194
4.194 4.194 0.000
Sr Zr Mo
1 4 1
Direct
0.000 0.000 0.000 Sr
0.377 0.868 0.377 Zr
0.868 0.377 0.377 Zr
0.377 0.377 0.868 Zr
0.377 0.377 0.377 Zr
0.750 0.750 0.750 Mo
```

Computed properties:
* N(E_F): 11.30 states/eV/cell
* energy of formation from the pure elements: 0.760 eV/atom
* symmetry: F-43m, No. 216
* total magnetic moment: 2.5 μB per cell


5.
Entry from the Alexandria database: an optimized crystal structure of SrZrMo2 (PBE).

POSCAR file:
```
SrZrMo2
1.0
-0.248 3.992 -8.860
-0.979 0.938 -9.626
-3.304 2.960 -8.650
Mo Sr Zr
2 1 1
Direct
0.011 0.011 0.011 Mo
0.489 0.489 0.489 Mo
0.250 0.250 0.250 Sr
0.750 0.750 0.750 Zr
```

Computed properties:
* N(E_F): 5.17 states/eV/cell
* energy of formation from the pure elements: 0.877 eV/atom
* symmetry: R-3m, No. 166
* E above lowest polymorph: 478 meV/atom
* total magnetic moment: 0.0 μB per cell


6.
Entry from the Alexandria database: an optimized crystal structure of Sr2ZrMo (PBE).

POSCAR file:
```
Sr2ZrMo
1.0
-3.991 -3.650 1.325
-5.341 1.237 -0.977
-2.784 -2.663 -4.021
Sr Mo Zr
2 1 1
Direct
0.250 0.250 0.250 Sr
0.750 0.750 0.750 Sr
0.500 0.500 0.500 Mo
0.000 0.000 0.000 Zr
```

Computed properties:
* N(E_F): 6.17 states/eV/cell
* energy of formation from the pure elements: 1.164 eV/atom
* symmetry: Fm-3m, No. 225
* E above lowest polymorph: 768 meV/atom
* total magnetic moment: 0.1 μB per cell


7.
Entry from the Alexandria database: an optimized crystal structure of SrZrMo2 (PBE).

POSCAR file:
```
SrZrMo2
1.0
6.175 0.001 -0.004
3.196 5.284 0.004
-4.160 -3.575 2.837
Mo Sr Zr
2 1 1
Direct
0.058 0.058 0.000 Mo
0.218 0.718 0.500 Mo
0.475 0.475 0.000 Sr
0.749 0.249 0.500 Zr
```

Computed properties:
* N(E_F): 2.99 states/eV/cell
* energy of formation from the pure elements: 0.590 eV/atom
* symmetry: Imm2, No. 44
* E above lowest polymorph: 191 meV/atom
* total magnetic moment: 0.0 μB per cell


8.
Entry from the Alexandria database: an optimized crystal structure of SrZrMo2 (PBE).

POSCAR file:
```
SrZrMo2
1.0
1.974 1.883 4.101
-2.918 1.507 3.670
-0.174 -2.547 4.212
Sr Mo Zr
1 2 1
Direct
0.000 0.000 0.000 Sr
0.250 0.250 0.250 Mo
0.750 0.750 0.750 Mo
0.500 0.500 0.500 Zr
```

Computed properties:
* N(E_F): 7.73 states/eV/cell
* energy of formation from the pure elements: 1.003 eV/atom
* symmetry: Fm-3m, No. 225
* E above lowest polymorph: 604 meV/atom
* total magnetic moment: 0.9 μB per cell


9.
Entry from the Alexandria database: an optimized crystal structure of SrZrMo2 (PBE).

POSCAR file:
```
SrZrMo2
1.0
-4.293 -3.812 1.257
4.944 -1.977 -2.488
1.093 -0.408 2.497
Mo Sr Zr
2 1 1
Direct
0.000 0.000 0.000 Mo
0.500 0.500 0.000 Mo
0.500 0.000 0.500 Sr
0.000 0.500 0.500 Zr
```

Computed properties:
* N(E_F): 3.82 states/eV/cell
* energy of formation from the pure elements: 0.915 eV/atom
* symmetry: Cmmm, No. 65
* E above lowest polymorph: 516 meV/atom
* total magnetic moment: 0.0 μB per cell


10.
Entry from the Alexandria database: an optimized crystal structure of SrZrMo (PBE).

POSCAR file:
```
SrZrMo
1.0
-0.829 -1.431 2.942
2.644 -3.121 -0.773
9.242 6.765 4.297
Sr Mo Zr
2 2 2
Direct
0.832 0.250 0.636 Sr
0.168 0.750 0.364 Sr
0.850 0.250 0.954 Mo
0.150 0.750 0.046 Mo
0.605 0.250 0.158 Zr
0.395 0.750 0.842 Zr
```

Computed properties:
* N(E_F): 6.09 states/eV/cell
* energy of formation from the pure elements: 0.352 eV/atom
* symmetry: P2_1/m, No. 11
* E above lowest polymorph: 79 meV/atom
* total magnetic moment: 0.0 μB per cell


11.
Entry from the Alexandria database: an optimized crystal structure of SrZr2Mo (PBE).

POSCAR file:
```
SrZr2Mo
1.0
-2.226 2.787 -0.942
-0.901 -1.770 -3.109
-5.840 -3.432 3.646
Mo Sr Zr
1 1 2
Direct
0.000 0.000 0.423 Mo
0.500 0.500 0.724 Sr
0.000 0.000 0.073 Zr
0.500 0.500 0.280 Zr
```

Computed properties:
* N(E_F): 5.13 states/eV/cell
* energy of formation from the pure elements: 0.393 eV/atom
* symmetry: P4mm, No. 99
* E above lowest polymorph: 187 meV/atom
* total magnetic moment: 0.0 μB per cell


12.
Entry from the Alexandria database: an optimized crystal structure of SrZr2Mo (PBE).

POSCAR file:
```
SrZr2Mo
1.0
-2.273 -2.626 3.460
4.210 -2.268 1.044
0.818 2.715 2.598
Mo Sr Zr
1 1 2
Direct
0.500 0.000 0.500 Mo
0.000 0.500 0.500 Sr
0.000 0.000 0.000 Zr
0.500 0.500 0.000 Zr
```

Computed properties:
* N(E_F): 6.13 states/eV/cell
* energy of formation from the pure elements: 0.766 eV/atom
* symmetry: P4/mmm, No. 123
* E above lowest polymorph: 560 meV/atom
* total magnetic moment: 0.0 μB per cell